[1]
The following is a PBE calculation of crystalline CaPrZnCd at its relaxed geometry, from Alexandria.

Unit cell a=7.5598 b=7.5598 c=7.5598 alpha=90.00 beta=90.00 gamma=90.00
Last column: nearest neighbours and their distance in Å.
Element x y z (fractional)
Ca1 0.0000 0.0000 0.0000  4 Zn 3.27, 4 Cd 3.27
Ca2 0.0000 0.5000 0.5000  4 Zn 3.27, 4 Cd 3.27
Ca3 0.5000 0.0000 0.5000  4 Zn 3.27, 4 Cd 3.27
Ca4 0.5000 0.5000 0.0000  4 Zn 3.27, 4 Cd 3.27
Pr1 0.0000 0.0000 0.5000  4 Cd 3.27, 4 Zn 3.27
Pr2 0.0000 0.5000 0.0000  4 Cd 3.27, 4 Zn 3.27
Pr3 0.5000 0.0000 0.0000  4 Cd 3.27, 4 Zn 3.27
Pr4 0.5000 0.5000 0.5000  4 Cd 3.27, 4 Zn 3.27
Zn1 0.2500 0.2500 0.7500  4 Pr 3.27, 4 Ca 3.27
Zn2 0.2500 0.7500 0.2500  4 Pr 3.27, 4 Ca 3.27
Zn3 0.7500 0.2500 0.2500  4 Pr 3.27, 4 Ca 3.27
Zn4 0.7500 0.7500 0.7500  4 Pr 3.27, 4 Ca 3.27
Cd1 0.2500 0.2500 0.2500  4 Ca 3.27, 4 Pr 3.27
Cd2 0.2500 0.7500 0.7500  4 Ca 3.27, 4 Pr 3.27
Cd3 0.7500 0.2500 0.7500  4 Ca 3.27, 4 Pr 3.27
Cd4 0.7500 0.7500 0.2500  4 Ca 3.27, 4 Pr 3.27

energy of formation: -0.3197 eV/atom
V: 432.05 Å³ per cell
mass density: 5.52 g/cm³
offset from the most stable computed form: 0 meV/atom
total magnetic moment: 0.0 μB/cell

[2]
The following is a PBE calculation of crystalline RbTl2P2 at its relaxed geometry, from Alexandria.

Unit cell a=8.6936 b=8.6936 c=4.2773 alpha=90.00 beta=90.00 gamma=90.00
Last column: nearest neighbours and their distance in Å.
Element x y z (fractional)
Rb1 0.0000 0.0000 0.0000  4 P 3.67, 8 Tl 3.92
Rb2 0.5000 0.5000 0.0000  4 P 3.67, 8 Tl 3.92
Tl1 0.1552 0.3448 0.5000  4 P 3.06
Tl2 0.3448 0.8448 0.5000  4 P 3.06
Tl3 0.6552 0.1552 0.5000  4 P 3.06
Tl4 0.8448 0.6552 0.5000  4 P 3.06
P1 0.0870 0.5870 0.0000  1 P 2.14
P2 0.4130 0.0870 0.0000  1 P 2.14
P3 0.5870 0.9130 0.0000  1 P 2.14
P4 0.9130 0.4130 0.0000  1 P 2.14

energy of formation: -0.0430 eV/atom
V: 323.27 Å³ per cell
mass density: 5.71 g/cm³
offset from the most stable computed form: 52 meV/atom
total magnetic moment: 0.0 μB/cell

[3]
The following is a PBE calculation of crystalline Ca3NbSn at its relaxed geometry, from Alexandria.

Unit cell a=5.8850 b=5.8850 c=5.8850 alpha=90.00 beta=90.00 gamma=90.00
Last column: nearest neighbours and their distance in Å.
Element x y z (fractional)
Ca1 0.0000 0.0000 0.5000  2 Sn 2.94
Ca2 0.0000 0.5000 0.0000  2 Sn 2.94
Ca3 0.5000 0.0000 0.0000  2 Sn 2.94
Nb1 0.5000 0.5000 0.5000  12 Ca 4.16
Sn1 0.0000 0.0000 0.0000  6 Ca 2.94

energy of formation: 0.6775 eV/atom
V: 203.82 Å³ per cell
mass density: 2.70 g/cm³
offset from the most stable computed form: 0 meV/atom
total magnetic moment: 5.0 μB/cell

[4]
The following is a PBE calculation of crystalline La2Fe2Pd at its relaxed geometry, from Alexandria.

Unit cell a=7.1208 b=7.1208 c=4.1362 alpha=90.00 beta=90.00 gamma=90.00
Last column: nearest neighbours and their distance in Å.
Element x y z (fractional)
La1 0.1863 0.3137 0.0000  6 Fe 2.91-3.01
La2 0.3137 0.8137 0.0000  6 Fe 2.91-3.01
La3 0.6863 0.1863 0.0000  6 Fe 2.91-3.01
La4 0.8137 0.6863 0.0000  6 Fe 2.91-3.01
Fe1 0.1106 0.6106 0.5000  1 Fe 2.23
Fe2 0.3894 0.1106 0.5000  1 Fe 2.23
Fe3 0.6106 0.8894 0.5000  1 Fe 2.23
Fe4 0.8894 0.3894 0.5000  1 Fe 2.23
Pd1 0.0000 0.0000 0.5000  4 Fe 2.88
Pd2 0.5000 0.5000 0.5000  4 Fe 2.88

energy of formation: -0.0753 eV/atom
V: 209.73 Å³ per cell
mass density: 7.85 g/cm³
total magnetic moment: 6.1 μB/cell

[5]
The following is a PBE calculation of crystalline TbPr2Sm4Th at its relaxed geometry, from Alexandria.

Unit cell a=6.0671 b=6.0695 c=7.3637 alpha=90.00 beta=90.09 gamma=90.00
Last column: nearest neighbours and their distance in Å.
Element x y z (fractional)
Tb1 0.0000 0.0000 0.0000  8 Sm 3.55-3.57, 2 Pr 3.68
Pr1 0.0000 0.0000 0.5000  8 Sm 3.53-3.54, 2 Tb 3.68
Pr2 0.5000 0.5000 0.0000  8 Sm 3.56, 2 Th 3.68
Sm1 0.0005 0.5000 0.2536  2 Th 3.53-3.54, 4 Pr 3.54-3.56, 2 Tb 3.56, 2 Sm 3.63-3.73
Sm2 0.4993 0.0000 0.2533  4 Pr 3.53-3.56, 2 Th 3.54, 2 Tb 3.55-3.57, 2 Sm 3.63-3.73
Sm3 0.5007 0.0000 0.7467  4 Pr 3.53-3.56, 2 Th 3.54, 2 Tb 3.55-3.57, 2 Sm 3.63-3.73
Sm4 0.9995 0.5000 0.7464  2 Th 3.53-3.54, 4 Pr 3.54-3.56, 2 Tb 3.56, 2 Sm 3.63-3.73
Th1 0.5000 0.5000 0.5000  8 Sm 3.53-3.54, 2 Pr 3.68

energy of formation: 0.1312 eV/atom
V: 271.16 Å³ per cell
mass density: 7.80 g/cm³
total magnetic moment: 0.0 μB/cell

[6]
The following is a PBE calculation of crystalline Sr2CdSb3Pd4 at its relaxed geometry, from Alexandria.

Unit cell a=4.6677 b=4.6677 c=10.8265 alpha=90.00 beta=90.00 gamma=90.00
Last column: nearest neighbours and their distance in Å.
Element x y z (fractional)
Sr1 0.0000 0.5000 0.2414  8 Pd 3.50-3.58, 6 Sb 3.53-3.64, 2 Cd 3.64
Sr2 0.5000 0.0000 0.7586  8 Pd 3.50-3.58, 6 Sb 3.53-3.64, 2 Cd 3.64
Cd1 0.0000 0.0000 0.5000  4 Pd 2.73
Sb1 0.0000 0.5000 0.8733  5 Pd 2.63-2.71
Sb2 0.5000 0.0000 0.1267  5 Pd 2.63-2.71
Sb3 0.5000 0.5000 0.5000  4 Pd 2.73
Pd1 0.0000 0.0000 0.0000  4 Sb 2.71
Pd2 0.0000 0.5000 0.6307  3 Sb 2.63-2.73, 2 Cd 2.73
Pd3 0.5000 0.0000 0.3693  3 Sb 2.63-2.73, 2 Cd 2.73
Pd4 0.5000 0.5000 0.0000  4 Sb 2.71

V: 235.89 Å³ per cell
mass density: 7.59 g/cm³
raw formation energy: -7.49 eV/f.u.
total magnetic moment: 0.0 μB/cell

[7]
The following is a PBE calculation of crystalline Li6CdRh2 at its relaxed geometry, from Alexandria.

Unit cell a=5.1105 b=5.1105 c=5.1105 alpha=95.17 beta=95.17 gamma=95.17
Last column: nearest neighbours and their distance in Å.
Element x y z (fractional)
Li1 0.0000 0.3270 0.6730  5 Li 2.47-2.67
Li2 0.0000 0.6730 0.3270  5 Li 2.47-2.67
Li3 0.3270 0.0000 0.6730  5 Li 2.47-2.67
Li4 0.3270 0.6730 0.0000  5 Li 2.47-2.67
Li5 0.6731 0.0000 0.3270  5 Li 2.47-2.67
Li6 0.6731 0.3270 0.0000  5 Li 2.47-2.67
Cd1 0.5000 0.5000 0.5000  2 Rh 2.72, 12 Li 2.87
Rh1 0.1612 0.1612 0.1612  1 Rh 2.58, 1 Cd 2.72, 12 Li 2.79-2.89
Rh2 0.8388 0.8388 0.8388  1 Rh 2.58, 1 Cd 2.72, 12 Li 2.79-2.89

energy of formation: -0.1626 eV/atom
V: 131.74 Å³ per cell
mass density: 4.54 g/cm³
offset from the most stable computed form: 0 meV/atom
total magnetic moment: 0.0 μB/cell

[8]
The following is a PBE calculation of crystalline MgTi2CuMo at its relaxed geometry, from Alexandria.

Unit cell a=4.6122 b=4.6122 c=4.3670 alpha=90.00 beta=90.00 gamma=90.00
Last column: nearest neighbours and their distance in Å.
Element x y z (fractional)
Mg1 0.0000 0.0000 0.0000  2 Cu 2.18
Ti1 0.0000 0.5000 0.5000  2 Cu 2.31
Ti2 0.5000 0.0000 0.5000  2 Cu 2.31
Cu1 0.0000 0.0000 0.5000  2 Mg 2.18, 4 Ti 2.31
Mo1 0.5000 0.5000 0.0000  8 Ti 3.18, 4 Mg 3.26

energy of formation: 0.8872 eV/atom
V: 92.90 Å³ per cell
mass density: 5.00 g/cm³
total magnetic moment: 0.0 μB/cell

[9]
The following is a PBE calculation of crystalline MgBe2Ir at its relaxed geometry, from Alexandria.

Unit cell a=8.0343 b=3.0402 c=4.5270 alpha=90.00 beta=107.46 gamma=90.00
Last column: nearest neighbours and their distance in Å.
Element x y z (fractional)
Mg1 0.0000 0.0000 0.0000  4 Ir 2.73, 8 Be 2.77-2.91, 2 Mg 3.04
Mg2 0.5000 0.5000 0.0000  4 Ir 2.73, 8 Be 2.77-2.91, 2 Mg 3.04
Be1 0.2242 0.0000 0.6391  2 Be 2.09, 2 Ir 2.30
Be2 0.2758 0.5000 0.3609  2 Be 2.09, 2 Ir 2.30
Be3 0.7242 0.5000 0.6391  2 Be 2.09, 2 Ir 2.30
Be4 0.7758 0.0000 0.3609  2 Be 2.09, 2 Ir 2.30
Ir1 0.0000 0.5000 0.5000  6 Be 2.30-2.48
Ir2 0.5000 0.0000 0.5000  6 Be 2.30-2.48

energy of formation: -0.2889 eV/atom
V: 105.48 Å³ per cell
mass density: 7.38 g/cm³
total magnetic moment: 0.0 μB/cell

[10]
The following is a PBE calculation of crystalline CaTa2PtO8 at its relaxed geometry, from Alexandria.

Unit cell a=4.8367 b=6.3730 c=4.8447 alpha=90.00 beta=91.41 gamma=90.00
Last column: nearest neighbours and their distance in Å.
Element x y z (fractional)
Ca1 0.0000 0.0000 0.0000  6 O 2.24-2.29
Ta1 0.5000 0.2488 0.5000  6 O 1.94-2.11
Ta2 0.5000 0.7512 0.5000  6 O 1.94-2.11
Pt1 0.0000 0.5000 0.0000  6 O 2.02-2.09
O1 0.2147 0.2786 0.2132  1 Ta 1.94, 1 Pt 2.02
O2 0.2147 0.7214 0.2132  1 Ta 1.94, 1 Pt 2.02
O3 0.3001 0.5000 0.6980  1 Pt 2.09, 2 Ta 2.11
O4 0.3225 0.0000 0.6756  2 Ta 2.00, 1 Ca 2.24
O5 0.6775 0.0000 0.3244  2 Ta 2.00, 1 Ca 2.24
O6 0.6999 0.5000 0.3020  1 Pt 2.09, 2 Ta 2.11
O7 0.7853 0.2786 0.7868  1 Ta 1.94, 1 Pt 2.02
O8 0.7853 0.7214 0.7868  1 Ta 1.94, 1 Pt 2.02

V: 149.29 Å³ per cell
mass density: 8.06 g/cm³
raw formation energy: -26.95 eV/f.u.
total magnetic moment: 0.0 μB/cell

[11]
The following is a PBE calculation of crystalline Pr5YBi6 at its relaxed geometry, from Alexandria.

Unit cell a=7.9983 b=7.9983 c=7.9987 alpha=99.61 beta=99.61 gamma=120.01
Last column: nearest neighbours and their distance in Å.
Element x y z (fractional)
Pr1 0.0000 0.0000 0.0000  6 Bi 3.27-3.31
Pr2 0.1659 0.8341 0.5000  6 Bi 3.27
Pr3 0.3312 0.6688 0.0000  6 Bi 3.27-3.29
Pr4 0.6688 0.3312 0.0000  6 Bi 3.27-3.29
Pr5 0.8341 0.1659 0.5000  6 Bi 3.27
Y1 0.5000 0.5000 0.5000  6 Bi 3.21-3.22
Bi1 0.0900 0.4183 0.2541  1 Y 3.21, 5 Pr 3.27-3.29
Bi2 0.2551 0.2551 0.7483  1 Y 3.22, 5 Pr 3.27-3.31
Bi3 0.4183 0.0900 0.2541  1 Y 3.21, 5 Pr 3.27-3.29
Bi4 0.5817 0.9100 0.7459  1 Y 3.21, 5 Pr 3.27-3.29
Bi5 0.7449 0.7449 0.2517  1 Y 3.22, 5 Pr 3.27-3.31
Bi6 0.9100 0.5817 0.7459  1 Y 3.21, 5 Pr 3.27-3.29

energy of formation: -0.9461 eV/atom
V: 417.63 Å³ per cell
mass density: 8.14 g/cm³
total magnetic moment: 0.0 μB/cell

[12]
The following is a PBE calculation of crystalline PaPd7 at its relaxed geometry, from Alexandria.

Unit cell a=6.9922 b=6.4178 c=4.9410 alpha=74.72 beta=62.30 gamma=42.97
Last column: nearest neighbours and their distance in Å.
Element x y z (fractional)
Pa1 0.0000 0.0000 0.0000  12 Pd 2.84-2.89
Pd1 0.1258 0.1258 0.3742  10 Pd 2.84-2.89, 2 Pa 2.86
Pd2 0.2479 0.2479 0.7521  11 Pd 2.84-2.89, 1 Pa 2.84
Pd3 0.3742 0.3742 0.1258  10 Pd 2.84-2.89, 2 Pa 2.86
Pd4 0.5000 0.5000 0.5000  10 Pd 2.86-2.89, 2 Pa 2.89
Pd5 0.6258 0.6258 0.8742  10 Pd 2.84-2.89, 2 Pa 2.86
Pd6 0.7521 0.7521 0.2479  11 Pd 2.84-2.89, 1 Pa 2.84
Pd7 0.8742 0.8742 0.6258  10 Pd 2.84-2.89, 2 Pa 2.86

energy of formation: -0.5205 eV/atom
V: 132.74 Å³ per cell
mass density: 12.21 g/cm³
total magnetic moment: 0.0 μB/cell

Q: Which of these has the lowest V?
A: MgTi2CuMo

Q: Which of these has the lowest V?
A: MgTi2CuMo